Ce2AlPt PBE relaxed; crystal system = tetragonal; DFT total energy = -6.0552 eV per atom; ΔE_f = -642 meV/atom
1.0
-2.789 2.547 2.466
-0.300 -3.173 2.938
3.394 1.653 2.131
Ce Pt Al
2 1 1
direct
0.000 0.000 0.500 Ce
0.000 0.500 0.000 Ce
0.500 0.000 0.000 Pt
0.500 0.500 0.500 Al